Crystalline ReIrI2O at its relaxed geometry, computed with PBE.

Calculated values
**Polymorph energy (0 for the lowest one)**: 0.0 meV per atom
**Volume**: 107.9 Å³/cell

a = 5.409 Å, b = 5.409 Å, c = 3.689 Å
α = 90.00°, β = 90.00°, γ = 90.00°
Positions (direct):
I (0.000, 0.500, 0.000)
I (0.500, 0.000, 0.000)
Re (0.000, 0.000, 0.000)
Ir (0.500, 0.500, 0.500)
O (0.000, 0.000, 0.500)

Crystalline ReIrI2O at its relaxed geometry, computed with PBE.

Calculated values
**Polymorph energy (0 for the lowest one)**: 341.4 meV per atom
**Volume**: 118.7 Å³/cell

a = 5.657 Å, b = 5.657 Å, c = 3.710 Å
α = 90.00°, β = 90.00°, γ = 90.00°
Positions (direct):
I (0.000, 0.500, 0.000)
I (0.500, 0.000, 0.000)
Re (0.500, 0.500, 0.500)
Ir (0.000, 0.000, 0.000)
O (0.000, 0.000, 0.500)

Crystalline ReIrIO2 at its relaxed geometry, computed with PBE.

Calculated values
**Polymorph energy (0 for the lowest one)**: 821.2 meV per atom
**Volume**: 114.5 Å³/cell

a = 3.784 Å, b = 3.784 Å, c = 7.999 Å
α = 90.00°, β = 90.00°, γ = 90.00°
Positions (direct):
I (0.000, 0.000, 0.500)
Re (0.500, 0.500, 0.500)
Ir (0.000, 0.000, 0.000)
O (0.000, 0.500, 0.000)
O (0.500, 0.000, 0.000)

Crystalline ReIrIO2 at its relaxed geometry, computed with PBE.

Calculated values
**Polymorph energy (0 for the lowest one)**: 0.0 meV per atom
**Volume**: 88.1 Å³/cell

a = 3.765 Å, b = 3.765 Å, c = 6.213 Å
α = 90.00°, β = 90.00°, γ = 90.00°
Positions (direct):
I (0.000, 0.000, 0.500)
Re (0.000, 0.000, 0.000)
Ir (0.500, 0.500, 0.500)
O (0.000, 0.500, 0.000)
O (0.500, 0.000, 0.000)

Crystalline IrRhIO2 at its relaxed geometry, computed with PBE.

Calculated values
**Polymorph energy (0 for the lowest one)**: 0.0 meV per atom
**Volume**: 119.8 Å³/cell

a = 3.729 Å, b = 3.729 Å, c = 8.615 Å
α = 90.00°, β = 90.00°, γ = 90.00°
Positions (direct):
I (0.000, 0.000, 0.500)
Ir (0.000, 0.000, 0.000)
Rh (0.500, 0.500, 0.500)
O (0.000, 0.500, 0.000)
O (0.500, 0.000, 0.000)

Crystalline IrRhIO2 at its relaxed geometry, computed with PBE.

Calculated values
**Polymorph energy (0 for the lowest one)**: 397.6 meV per atom
**Volume**: 112.5 Å³/cell

a = 3.738 Å, b = 3.738 Å, c = 8.049 Å
α = 90.00°, β = 90.00°, γ = 90.00°
Positions (direct):
I (0.000, 0.000, 0.500)
Ir (0.500, 0.500, 0.500)
Rh (0.000, 0.000, 0.000)
O (0.000, 0.500, 0.000)
O (0.500, 0.000, 0.000)

Crystalline IrRuI2O at its relaxed geometry, computed with PBE.

Calculated values
**Polymorph energy (0 for the lowest one)**: 91.4 meV per atom
**Volume**: 110.2 Å³/cell

a = 5.480 Å, b = 5.480 Å, c = 3.670 Å
α = 90.00°, β = 90.00°, γ = 90.00°
Positions (direct):
I (0.000, 0.500, 0.000)
I (0.500, 0.000, 0.000)
Ru (0.500, 0.500, 0.500)
Ir (0.000, 0.000, 0.000)
O (0.000, 0.000, 0.500)

Crystalline IrRuI2O at its relaxed geometry, computed with PBE.

Calculated values
**Polymorph energy (0 for the lowest one)**: 493.9 meV per atom
**Volume**: 122.7 Å³/cell

a = 5.832 Å, b = 3.609 Å, c = 5.832 Å
α = 90.00°, β = 90.00°, γ = 90.00°
Positions (direct):
I (0.000, 0.000, 0.500)
I (0.500, 0.000, 0.000)
Ru (0.500, 0.500, 0.500)
Ir (0.000, 0.500, 0.000)
O (0.000, 0.000, 0.000)

Crystalline IrRuI2O at its relaxed geometry, computed with PBE.

Calculated values
**Polymorph energy (0 for the lowest one)**: 0.0 meV per atom
**Volume**: 105.3 Å³/cell

a = 5.372 Å, b = 5.372 Å, c = 3.649 Å
α = 90.00°, β = 90.00°, γ = 90.00°
Positions (direct):
I (0.000, 0.500, 0.000)
I (0.500, 0.000, 0.000)
Ru (0.000, 0.000, 0.000)
Ir (0.500, 0.500, 0.500)
O (0.000, 0.000, 0.500)

Crystalline IrSI2O at its relaxed geometry, computed with PBE.

Calculated values
**Polymorph energy (0 for the lowest one)**: 0.0 meV per atom
**Volume**: 115.8 Å³/cell

a = 5.574 Å, b = 5.574 Å, c = 3.727 Å
α = 90.00°, β = 90.00°, γ = 90.00°
Positions (direct):
I (0.000, 0.500, 0.000)
I (0.500, 0.000, 0.000)
S (0.500, 0.500, 0.500)
Ir (0.000, 0.000, 0.000)
O (0.000, 0.000, 0.500)

Crystalline IrSI2O at its relaxed geometry, computed with PBE.

Calculated values
**Polymorph energy (0 for the lowest one)**: 517.0 meV per atom
**Volume**: 101.6 Å³/cell

a = 5.415 Å, b = 5.415 Å, c = 3.465 Å
α = 90.00°, β = 90.00°, γ = 90.00°
Positions (direct):
I (0.000, 0.500, 0.000)
I (0.500, 0.000, 0.000)
S (0.000, 0.000, 0.000)
Ir (0.500, 0.500, 0.500)
O (0.000, 0.000, 0.500)

Crystalline ScIrI2O at its relaxed geometry, computed with PBE.

Calculated values
**Polymorph energy (0 for the lowest one)**: 0.0 meV per atom
**Volume**: 126.7 Å³/cell

a = 5.779 Å, b = 5.779 Å, c = 3.793 Å
α = 90.00°, β = 90.00°, γ = 90.00°
Positions (direct):
I (0.000, 0.500, 0.000)
I (0.500, 0.000, 0.000)
Sc (0.000, 0.000, 0.000)
Ir (0.500, 0.500, 0.500)
O (0.000, 0.000, 0.500)

Crystalline ScIrI2O at its relaxed geometry, computed with PBE.

Calculated values
**Polymorph energy (0 for the lowest one)**: 66.9 meV per atom
**Volume**: 120.9 Å³/cell

a = 5.681 Å, b = 5.681 Å, c = 3.747 Å
α = 90.00°, β = 90.00°, γ = 90.00°
Positions (direct):
I (0.000, 0.500, 0.000)
I (0.500, 0.000, 0.000)
Sc (0.500, 0.500, 0.500)
Ir (0.000, 0.000, 0.000)
O (0.000, 0.000, 0.500)

Crystalline SnIrI2O at its relaxed geometry, computed with PBE.

Calculated values
**Polymorph energy (0 for the lowest one)**: 746.8 meV per atom
**Volume**: 136.1 Å³/cell

a = 5.892 Å, b = 5.892 Å, c = 3.921 Å
α = 90.00°, β = 90.00°, γ = 90.00°
Positions (direct):
I (0.000, 0.500, 0.000)
I (0.500, 0.000, 0.000)
Ir (0.500, 0.500, 0.500)
Sn (0.000, 0.000, 0.000)
O (0.000, 0.000, 0.500)

Crystalline SnIrI2O at its relaxed geometry, computed with PBE.

Calculated values
**Polymorph energy (0 for the lowest one)**: 0.0 meV per atom
**Volume**: 125.8 Å³/cell

a = 5.770 Å, b = 5.770 Å, c = 3.779 Å
α = 90.00°, β = 90.00°, γ = 90.00°
Positions (direct):
I (0.000, 0.500, 0.000)
I (0.500, 0.000, 0.000)
Ir (0.000, 0.000, 0.000)
Sn (0.500, 0.500, 0.500)
O (0.000, 0.000, 0.500)

Crystalline SrIrI2O at its relaxed geometry, computed with PBE.

Calculated values
**Polymorph energy (0 for the lowest one)**: 0.0 meV per atom
**Volume**: 131.4 Å³/cell

a = 5.851 Å, b = 5.851 Å, c = 3.838 Å
α = 90.00°, β = 90.00°, γ = 90.00°
Positions (direct):
I (0.000, 0.500, 0.000)
I (0.500, 0.000, 0.000)
Sr (0.500, 0.500, 0.500)
Ir (0.000, 0.000, 0.000)
O (0.000, 0.000, 0.500)

Crystalline SrIrI2O at its relaxed geometry, computed with PBE.

Calculated values
**Polymorph energy (0 for the lowest one)**: 1146.5 meV per atom
**Volume**: 166.5 Å³/cell

a = 6.301 Å, b = 6.301 Å, c = 4.193 Å
α = 90.00°, β = 90.00°, γ = 90.00°
Positions (direct):
I (0.000, 0.500, 0.000)
I (0.500, 0.000, 0.000)
Sr (0.000, 0.000, 0.000)
Ir (0.500, 0.500, 0.500)
O (0.000, 0.000, 0.500)

Crystalline TaIrIO2 at its relaxed geometry, computed with PBE.

Calculated values
**Polymorph energy (0 for the lowest one)**: 0.0 meV per atom
**Volume**: 93.7 Å³/cell

a = 3.861 Å, b = 3.861 Å, c = 6.284 Å
α = 90.00°, β = 90.00°, γ = 90.00°
Positions (direct):
I (0.000, 0.000, 0.500)
Ir (0.500, 0.500, 0.500)
O (0.000, 0.500, 0.000)
O (0.500, 0.000, 0.000)
Ta (0.000, 0.000, 0.000)

Crystalline TaIrI2O at its relaxed geometry, computed with PBE.

Calculated values
**Polymorph energy (0 for the lowest one)**: 392.0 meV per atom
**Volume**: 115.3 Å³/cell

a = 5.597 Å, b = 5.597 Å, c = 3.681 Å
α = 90.00°, β = 90.00°, γ = 90.00°
Positions (direct):
I (0.000, 0.500, 0.000)
I (0.500, 0.000, 0.000)
Ir (0.000, 0.000, 0.000)
O (0.000, 0.000, 0.500)
Ta (0.500, 0.500, 0.500)

Crystalline TaIrIO2 at its relaxed geometry, computed with PBE.

Calculated values
**Polymorph energy (0 for the lowest one)**: 1304.7 meV per atom
**Volume**: 113.3 Å³/cell

a = 3.827 Å, b = 3.827 Å, c = 7.735 Å
α = 90.00°, β = 90.00°, γ = 90.00°
Positions (direct):
I (0.000, 0.000, 0.500)
Ir (0.000, 0.000, 0.000)
O (0.000, 0.500, 0.000)
O (0.500, 0.000, 0.000)
Ta (0.500, 0.500, 0.500)

Crystalline TaIrI2O at its relaxed geometry, computed with PBE.

Calculated values
**Polymorph energy (0 for the lowest one)**: 0.0 meV per atom
**Volume**: 116.0 Å³/cell

a = 5.512 Å, b = 5.512 Å, c = 3.816 Å
α = 90.00°, β = 90.00°, γ = 90.00°
Positions (direct):
I (0.000, 0.500, 0.000)
I (0.500, 0.000, 0.000)
Ir (0.500, 0.500, 0.500)
O (0.000, 0.000, 0.500)
Ta (0.000, 0.000, 0.000)

Crystalline TcIr2IO at its relaxed geometry, computed with PBE.

Calculated values
**Volume**: 81.7 Å³/cell
**Uncorrected energy**: -28.822 eV for the cell shown

a = 4.004 Å, b = 5.097 Å, c = 4.004 Å
α = 90.00°, β = 90.00°, γ = 90.00°
Positions (direct):
I (0.000, 0.500, 0.000)
Ir (0.000, 0.000, 0.500)
Ir (0.500, 0.000, 0.000)
Tc (0.500, 0.500, 0.500)
O (0.000, 0.000, 0.000)

Crystalline TcIrIO2 at its relaxed geometry, computed with PBE.

Calculated values
**Polymorph energy (0 for the lowest one)**: 440.9 meV per atom
**Volume**: 115.1 Å³/cell

a = 3.789 Å, b = 3.789 Å, c = 8.017 Å
α = 90.00°, β = 90.00°, γ = 90.00°
Positions (direct):
I (0.000, 0.000, 0.500)
Ir (0.000, 0.000, 0.000)
Tc (0.500, 0.500, 0.500)
O (0.000, 0.500, 0.000)
O (0.500, 0.000, 0.000)

Crystalline TcIrI2O at its relaxed geometry, computed with PBE.

Calculated values
**Polymorph energy (0 for the lowest one)**: 0.0 meV per atom
**Volume**: 106.8 Å³/cell

a = 5.399 Å, b = 5.399 Å, c = 3.663 Å
α = 90.00°, β = 90.00°, γ = 90.00°
Positions (direct):
I (0.000, 0.500, 0.000)
I (0.500, 0.000, 0.000)
Ir (0.500, 0.500, 0.500)
Tc (0.000, 0.000, 0.000)
O (0.000, 0.000, 0.500)

Crystalline TcIrI2O at its relaxed geometry, computed with PBE.

Calculated values
**Polymorph energy (0 for the lowest one)**: 272.4 meV per atom
**Volume**: 109.9 Å³/cell

a = 5.480 Å, b = 5.480 Å, c = 3.660 Å
α = 90.00°, β = 90.00°, γ = 90.00°
Positions (direct):
I (0.000, 0.500, 0.000)
I (0.500, 0.000, 0.000)
Ir (0.000, 0.000, 0.000)
Tc (0.500, 0.500, 0.500)
O (0.000, 0.000, 0.500)

Crystalline TcIrIO2 at its relaxed geometry, computed with PBE.

Calculated values
**Polymorph energy (0 for the lowest one)**: 0.0 meV per atom
**Volume**: 87.8 Å³/cell

a = 3.763 Å, b = 3.763 Å, c = 6.201 Å
α = 90.00°, β = 90.00°, γ = 90.00°
Positions (direct):
I (0.000, 0.000, 0.500)
Ir (0.500, 0.500, 0.500)
Tc (0.000, 0.000, 0.000)
O (0.000, 0.500, 0.000)
O (0.500, 0.000, 0.000)

Crystalline TlIrIO2 at its relaxed geometry, computed with PBE.

Calculated values
**Polymorph energy (0 for the lowest one)**: 737.4 meV per atom
**Volume**: 101.2 Å³/cell

a = 4.045 Å, b = 6.184 Å, c = 4.045 Å
α = 90.00°, β = 90.00°, γ = 90.00°
Positions (direct):
I (0.500, 0.500, 0.500)
Tl (0.000, 0.000, 0.000)
Ir (0.000, 0.500, 0.000)
O (0.000, 0.000, 0.500)
O (0.500, 0.000, 0.000)

Crystalline TlIrIO6 at its relaxed geometry, computed with PBE.

Calculated values
**Volume**: 150.9 Å³/cell
**Uncorrected energy**: -47.247 eV for the cell shown

a = 5.319 Å, b = 5.319 Å, c = 6.158 Å
α = 90.00°, β = 90.00°, γ = 60.00°
Positions (direct):
Tl (0.000, 0.000, 0.000)
Ir (0.667, 0.667, 0.500)
I (0.333, 0.333, 0.500)
O (0.999, 0.374, 0.323)
O (0.374, 0.999, 0.677)
O (0.627, 0.374, 0.677)
O (0.999, 0.627, 0.677)
O (0.374, 0.627, 0.323)
O (0.627, 0.999, 0.323)

Crystalline TlIrI2O at its relaxed geometry, computed with PBE.

Calculated values
**Polymorph energy (0 for the lowest one)**: 1269.3 meV per atom
**Volume**: 145.6 Å³/cell

a = 6.034 Å, b = 6.034 Å, c = 3.999 Å
α = 90.00°, β = 90.00°, γ = 90.00°
Positions (direct):
I (0.000, 0.500, 0.000)
I (0.500, 0.000, 0.000)
Tl (0.000, 0.000, 0.000)
Ir (0.500, 0.500, 0.500)
O (0.000, 0.000, 0.500)